(1)
VASP calculation (PBE) on crystalline LiReO2F at its relaxed geometry.

```
LiReO2F
1.0
-0.806 -3.675 0.615
2.144 -0.972 -2.999
3.587 -0.339 2.675
Re Li O F
1 1 2 1
Cartesian
0.000 0.000 0.000
2.462 -2.493 0.146
1.072 -0.486 -1.499
-0.403 -1.838 0.308
1.794 -0.170 1.337
```

Output
- total magnetic moment (μB per atom) = 0.00
- formation energy (no corrections) (kJ per mole of atoms) = -147
- calculated volume (Å³ per cell) = 65.2
- calculated density (g/cm³) = 6.2


(2)
VASP calculation (PBE) on crystalline Ce2FeMoN5 at its relaxed geometry.

```
Ce2FeMoN5
1.0
-0.168 1.510 2.860
2.418 -6.278 1.623
9.370 3.301 -1.191
Ce Fe Mo N
4 2 2 10
Cartesian
9.320 -0.561 2.678
7.018 0.968 -0.098
3.648 -0.432 0.443
3.476 -2.832 3.533
9.018 3.302 0.621
6.266 -3.478 2.205
6.210 -0.878 2.662
1.111 -2.105 1.176
1.700 -3.763 2.086
8.944 1.625 1.502
9.611 -2.923 2.109
7.589 -1.103 1.029
6.998 -2.675 3.657
5.427 0.712 1.777
4.978 -2.282 1.497
2.535 1.641 1.116
2.376 -0.948 2.474
0.372 -0.290 0.175
```

Output
- total magnetic moment (μB per atom) = 0.00
- formation energy (no corrections) (kJ per mole of atoms) = -80
- calculated volume (Å³ per cell) = 218.0
- calculated density (g/cm³) = 7.6